{
  "formula": "RbLiNi2Pd",
  "functional": "PBE",
  "state": "relaxed",
  "spacegroup": "No. 123",
  "magmom_total_mub_per_fu": 0.0,
  "formation_energy_ev_per_atom": 1.6304,
  "vol_a3_per_atom": 19.145,
  "crystal_system": "tetragonal",
  "density_g_cm3": 5.49,
  "total_energy_ev_per_atom": -2.297,
  "lattice_angstrom": [[4.6217, 0.0000, 0.0000], [0.0000, 4.6217, 0.0000], [0.0000, 0.0000, 4.4815]],
  "species": ["Rb", "Li", "Ni", "Ni", "Pd"],
  "frac_coords": [[0.0000, 0.0000, 0.0000], [0.0000, 0.0000, 0.5000], [0.0000, 0.5000, 0.0000], [0.5000, 0.0000, 0.0000], [0.5000, 0.5000, 0.5000]]
}